1.
Compound: Mg4Cd4Ag
Source: Alexandria via LeMat-Bulk
Functional: GGA-PBE
Structure: optimized geometry

POSCAR file:
```
Mg4Cd4Ag
1.0
-2.862 2.878 -0.646
-2.769 -1.255 -6.401
-6.111 -2.583 2.490
Mg Cd Ag
4 4 1
Cartesian
-3.767 1.056 -4.756 Mg
-7.974 -2.016 0.200 Mg
-8.796 -1.097 -5.143 Mg
-2.946 0.137 0.587 Mg
-4.841 0.669 -1.721 Cd
-6.900 -1.629 -2.836 Cd
-6.731 1.185 -4.122 Cd
-5.011 -2.146 -0.435 Cd
0.000 0.000 0.000 Ag
```

Properties
For the calculated formation energy, the calculation gives -0.09 eV per atom. The space group is I4/mmm, No. 139. The magnetization is 0.000 μB/atom.

---

2.
Compound: Mg7CdAg4
Source: Alexandria via LeMat-Bulk
Functional: GGA-PBE
Structure: optimized geometry

POSCAR file:
```
Mg7CdAg4
1.0
5.127 0.000 0.000
2.563 7.471 0.981
2.563 1.173 6.722
Mg Cd Ag
7 1 4
Cartesian
7.690 7.137 4.387 Mg
2.563 1.506 3.316 Mg
2.563 4.652 2.350 Mg
7.690 3.992 5.353 Mg
5.127 6.279 5.975 Mg
2.563 0.000 0.000 Mg
5.127 2.365 1.729 Mg
0.000 0.000 0.000 Cd
5.127 2.876 4.376 Ag
5.127 5.767 3.328 Ag
7.690 5.982 7.273 Ag
2.563 2.662 0.431 Ag
```

Properties
For the calculated formation energy, the calculation gives -0.04 eV per atom. The space group is C2/m, No. 12. The magnetization is 0.000 μB/atom.

---

3.
Compound: MgCd3Ag2
Source: Alexandria via LeMat-Bulk
Functional: GGA-PBE
Structure: optimized geometry

POSCAR file:
```
MgCd3Ag2
1.0
-0.840 -2.969 0.362
2.659 -3.402 -8.400
8.522 -4.119 -0.665
Mg Cd Ag
2 6 4
Cartesian
6.286 -5.079 -0.395 Mg
4.054 -5.412 -8.309 Mg
3.136 -4.292 -1.257 Cd
4.666 -6.892 -5.692 Cd
2.973 -4.613 -4.267 Cd
7.204 -6.198 -7.446 Cd
7.367 -5.877 -4.436 Cd
5.674 -3.599 -3.011 Cd
8.855 -8.100 -5.876 Ag
1.485 -2.391 -2.827 Ag
2.733 -3.240 -6.893 Ag
7.607 -7.251 -1.810 Ag
```

Properties
For the calculated formation energy, the calculation gives -0.09 eV per atom. The space group is C2/m, No. 12. The magnetization is 0.000 μB/atom. The calculation puts the offset from the most stable computed form at 0.00 eV per formula unit.

---

4.
Compound: Mg4Cd5Ag4
Source: Alexandria via LeMat-Bulk
Functional: GGA-PBE
Structure: optimized geometry

POSCAR file:
```
Mg4Cd5Ag4
1.0
-3.907 1.626 0.469
-3.896 -5.185 4.841
0.466 4.826 6.480
Mg Cd Ag
4 5 4
Cartesian
-4.427 -0.295 2.801 Mg
-2.910 1.562 8.990 Mg
-6.701 -1.478 7.272 Mg
-0.636 2.744 4.519 Mg
-5.673 0.400 9.326 Cd
-1.664 0.866 2.465 Cd
0.000 0.000 0.000 Cd
-5.004 -2.294 4.916 Cd
-2.333 3.560 6.875 Cd
-5.091 2.419 7.182 Ag
-3.374 1.657 4.799 Ag
-2.246 -1.153 4.609 Ag
-3.963 -0.391 6.991 Ag
```

Properties
For the calculated formation energy, the calculation gives -0.09 eV per atom. The space group is I4/m, No. 87. The magnetization is 0.000 μB/atom.

---

5.
Compound: MgCd6Ag12
Source: Alexandria via LeMat-Bulk
Functional: GGA-PBE
Structure: optimized geometry

POSCAR file:
```
MgCd6Ag12
1.0
7.155 0.431 0.516
-0.659 7.137 0.516
-0.659 -0.768 7.114
Mg Cd Ag
1 6 12
Cartesian
0.000 0.000 0.000 Mg
4.383 6.416 2.757 Cd
4.953 2.230 1.341 Cd
0.159 5.035 2.434 Cd
1.454 0.384 5.389 Cd
0.884 4.570 6.806 Cd
5.678 1.765 5.712 Cd
5.033 3.790 3.859 Ag
2.321 5.448 4.418 Ag
2.983 2.805 6.149 Ag
0.804 3.010 4.287 Ag
3.516 1.353 3.728 Ag
2.854 3.995 1.997 Ag
-0.020 0.803 2.720 Ag
5.040 4.142 7.560 Ag
3.330 6.436 6.871 Ag
5.857 5.997 5.427 Ag
0.796 2.658 0.586 Ag
2.506 0.364 1.276 Ag
```

Properties
For the calculated formation energy, the calculation gives 0.00 eV per atom. The space group is R-3, No. 148. The magnetization is 0.000 μB/atom.

---

6.
Compound: MgCd5Ag
Source: Alexandria via LeMat-Bulk
Functional: GGA-PBE
Structure: optimized geometry

POSCAR file:
```
MgCd5Ag
1.0
-3.470 -2.169 -6.612
-2.331 -4.269 4.631
-3.672 5.156 2.243
Mg Cd Ag
2 10 2
Cartesian
-4.060 -1.710 -3.163 Mg
-5.413 0.429 3.425 Mg
-6.932 -1.520 1.891 Cd
-4.672 -3.649 0.157 Cd
-2.461 0.988 1.287 Cd
-7.336 0.666 -0.215 Cd
-6.413 0.419 -2.982 Cd
-3.060 -1.700 3.244 Cd
-2.137 -1.947 0.478 Cd
-7.012 -2.270 -1.024 Cd
-4.801 2.368 0.105 Cd
-2.541 0.239 -1.629 Cd
0.000 0.000 0.000 Ag
-4.736 -0.641 0.131 Ag
```

Properties
For the calculated formation energy, the calculation gives 0.04 eV per atom. The space group is C2/c, No. 15. The magnetization is 0.000 μB/atom.

---

7.
Compound: Mg2CdAg4
Source: Alexandria via LeMat-Bulk
Functional: GGA-PBE
Structure: optimized geometry

POSCAR file:
```
Mg2CdAg4
1.0
-3.350 9.117 1.889
-2.988 -0.097 -4.829
-2.391 -1.885 4.856
Mg Cd Ag
4 2 8
Cartesian
-6.155 8.414 0.298 Mg
-2.574 -1.280 1.618 Mg
-5.742 3.228 0.147 Mg
-2.987 3.907 1.769 Mg
0.000 0.000 0.000 Cd
-3.169 4.510 -1.470 Cd
-6.831 5.186 3.386 Ag
-5.416 5.838 1.076 Ag
-3.924 5.892 3.492 Ag
-5.123 4.652 5.680 Ag
-3.606 2.483 -3.763 Ag
-4.804 1.243 -1.576 Ag
-3.313 1.297 0.840 Ag
-1.898 1.949 -1.470 Ag
```

Properties
For the calculated formation energy, the calculation gives -0.04 eV per atom. The space group is Cmce, No. 64. The magnetization is 0.000 μB/atom. The calculation puts the offset from the most stable computed form at 0.00 eV per formula unit.

---

8.
Compound: Mg4Cd4Ag3
Source: Alexandria via LeMat-Bulk
Functional: GGA-PBE
Structure: optimized geometry

POSCAR file:
```
Mg4Cd4Ag3
1.0
0.255 3.215 -0.902
0.170 -1.012 -3.561
-17.779 -0.011 1.072
Mg Cd Ag
4 4 3
Cartesian
-1.299 1.196 -2.332 Mg
-16.055 0.996 -1.059 Mg
-11.162 1.812 -2.983 Mg
-6.193 0.380 -0.408 Mg
-3.169 0.197 -0.209 Cd
-9.664 0.602 -0.639 Cd
-7.691 1.590 -2.752 Cd
-14.185 1.995 -3.182 Cd
-4.546 1.394 -2.546 Ag
-12.808 0.797 -0.845 Ag
-17.524 3.203 0.170 Ag
```

Properties
For the calculated formation energy, the calculation gives -0.14 eV per atom. The space group is P-1, No. 2. The magnetization is 0.000 μB/atom. The calculation puts the offset from the most stable computed form at 0.00 eV per formula unit.

---

9.
Compound: Mg6Cd8Ag
Source: Alexandria via LeMat-Bulk
Functional: GGA-PBE
Structure: optimized geometry

POSCAR file:
```
Mg6Cd8Ag
1.0
5.326 0.000 1.867
2.336 4.786 1.867
-1.308 -0.817 12.260
Mg Cd Ag
6 8 1
Cartesian
6.134 2.747 5.285 Mg
3.032 -0.339 11.353 Mg
2.762 2.873 11.962 Mg
3.591 1.096 4.032 Mg
3.322 4.308 4.641 Mg
0.219 1.223 10.709 Mg
4.551 1.745 9.757 Cd
4.578 0.645 6.864 Cd
4.345 3.832 7.480 Cd
2.553 1.595 1.248 Cd
3.801 2.375 14.746 Cd
2.009 0.138 8.514 Cd
1.776 3.325 9.131 Cd
1.803 2.225 6.237 Cd
0.000 0.000 0.000 Ag
```

Properties
For the calculated formation energy, the calculation gives -0.04 eV per atom. The space group is R-3, No. 148. The magnetization is 0.000 μB/atom.

---

10.
Compound: Mg7CdAg5
Source: Alexandria via LeMat-Bulk
Functional: GGA-PBE
Structure: optimized geometry

POSCAR file:
```
Mg7CdAg5
1.0
5.606 0.000 0.000
2.803 6.882 0.018
2.803 -0.004 6.882
Mg Cd Ag
7 1 5
Cartesian
5.606 2.774 2.783 Mg
5.606 5.235 5.252 Mg
2.803 2.074 4.583 Mg
2.803 4.576 2.089 Mg
2.803 1.599 1.604 Mg
5.606 5.516 0.928 Mg
5.606 0.910 5.519 Mg
5.606 0.519 0.521 Cd
7.018 6.805 3.237 Ag
4.195 6.805 3.237 Ag
7.018 3.215 6.816 Ag
4.195 3.215 6.816 Ag
8.410 4.901 4.917 Ag
```

Properties
For the calculated formation energy, the calculation gives -0.14 eV per atom. The space group is Imm2, No. 44. The magnetization is 0.000 μB/atom.

---

11.
Compound: Mg4CdAg4
Source: Alexandria via LeMat-Bulk
Functional: GGA-PBE
Structure: optimized geometry

POSCAR file:
```
Mg4CdAg4
1.0
-0.813 7.335 -1.005
-6.710 -1.157 -3.019
-3.113 0.573 6.699
Mg Cd Ag
8 2 8
Cartesian
-7.878 3.329 3.065 Mg
-4.971 3.830 4.373 Mg
-4.387 4.761 -1.262 Mg
-4.035 1.582 -0.826 Mg
-1.283 1.793 2.164 Mg
-1.743 5.949 1.594 Mg
-3.460 0.119 3.664 Mg
-7.262 -0.537 1.953 Mg
0.000 0.000 0.000 Cd
-5.318 3.376 1.338 Cd
-5.922 1.315 3.470 Ag
-6.413 5.749 2.862 Ag
-6.496 2.869 -1.403 Ag
-2.440 3.569 0.422 Ag
-5.531 -0.651 -0.278 Ag
-2.878 -0.193 0.916 Ag
-2.509 2.634 4.567 Ag
-2.830 5.535 4.170 Ag
```

Properties
For the calculated formation energy, the calculation gives 0.06 eV per atom. The space group is P4_2/nmc, No. 137. The magnetization is 0.000 μB/atom.

---

12.
Compound: Mg4CdAg7
Source: Alexandria via LeMat-Bulk
Functional: GGA-PBE
Structure: optimized geometry

POSCAR file:
```
Mg4CdAg7
1.0
5.131 0.000 0.000
2.565 9.085 -0.269
2.565 0.182 5.270
Mg Cd Ag
4 1 7
Cartesian
5.131 2.140 2.927 Mg
5.131 7.127 2.074 Mg
7.696 6.305 4.171 Mg
2.565 2.962 0.830 Mg
0.000 0.000 0.000 Cd
7.696 8.422 2.400 Ag
2.565 0.845 2.601 Ag
2.565 5.883 1.174 Ag
7.696 3.384 3.827 Ag
5.131 4.847 3.887 Ag
2.565 0.000 0.000 Ag
5.131 4.420 1.114 Ag
```

Properties
For the calculated formation energy, the calculation gives -0.03 eV per atom. The space group is C2/m, No. 12. The magnetization is 0.000 μB/atom. The calculation puts the offset from the most stable computed form at 1.52 eV per formula unit.